(1)
Entry from Alexandria: Tb2Dy9Tl after structural relaxation (PBE-GGA).

Unit cell a=4.936 b=4.936 c=15.102 alpha=90.00 beta=90.00 gamma=90.00
Sites, in units of the cell vectors:
Tb: 0.000 0.000 0.167
Tb: 0.000 0.000 0.833
Dy: 0.000 0.500 0.000
Dy: 0.000 0.500 0.337
Dy: 0.000 0.500 0.663
Dy: 0.500 0.000 0.000
Dy: 0.500 0.000 0.337
Dy: 0.500 0.000 0.663
Dy: 0.500 0.500 0.172
Dy: 0.500 0.500 0.500
Dy: 0.500 0.500 0.828
Tl: 0.000 0.000 0.500

Its crystal system is tetragonal. As for the space group: P4/mmm, No. 123. As for the total DFT energy (no corrections): -53.53 eV per formula unit.

=====

(2)
Entry from Alexandria: TbDy4Tl after structural relaxation (PBE-GGA).

Unit cell a=3.583 b=3.583 c=14.247 alpha=90.00 beta=90.00 gamma=90.00
Sites, in units of the cell vectors:
Tb: 0.000 0.000 0.000
Dy: 0.000 0.000 0.350
Dy: 0.000 0.000 0.650
Dy: 0.500 0.500 0.176
Dy: 0.500 0.500 0.824
Tl: 0.500 0.500 0.500

Its crystal system is tetragonal. As for the space group: P4/mmm, No. 123. As for the total DFT energy (no corrections): -26.04 eV per formula unit. The value obtained for the offset from the most stable computed form is 0 meV/atom.

=====

(3)
Entry from Alexandria: TbDy3Tl after structural relaxation (PBE-GGA).

Unit cell a=9.830 b=9.830 c=6.526 alpha=100.36 beta=100.36 gamma=84.10
Sites, in units of the cell vectors:
Tb: 0.037 0.171 0.464
Tb: 0.171 0.037 0.964
Tb: 0.829 0.963 0.036
Tb: 0.963 0.829 0.536
Dy: 0.094 0.712 0.021
Dy: 0.124 0.499 0.360
Dy: 0.232 0.375 0.859
Dy: 0.288 0.906 0.479
Dy: 0.375 0.232 0.359
Dy: 0.499 0.124 0.860
Dy: 0.501 0.876 0.140
Dy: 0.625 0.768 0.641
Dy: 0.712 0.094 0.521
Dy: 0.768 0.625 0.141
Dy: 0.876 0.501 0.640
Dy: 0.906 0.288 0.979
Tl: 0.335 0.665 0.750
Tl: 0.416 0.584 0.250
Tl: 0.584 0.416 0.750
Tl: 0.665 0.335 0.250

Its crystal system is monoclinic. As for the space group: C2/c, No. 15. As for the total DFT energy (no corrections): -21.03 eV per formula unit. The value obtained for the offset from the most stable computed form is 77 meV/atom.

=====

(4)
Entry from Alexandria: TbDyTl after structural relaxation (PBE-GGA).

Unit cell a=5.420 b=5.420 c=6.744 alpha=90.00 beta=90.00 gamma=120.00
Sites, in units of the cell vectors:
Tb: 0.000 0.000 0.000
Tb: 0.000 0.000 0.500
Dy: 0.333 0.667 0.250
Dy: 0.667 0.333 0.750
Tl: 0.333 0.667 0.750
Tl: 0.667 0.333 0.250

Its crystal system is hexagonal. As for the space group: P6_3/mmc, No. 194. As for the total DFT energy (no corrections): -12.38 eV per formula unit. The value obtained for the offset from the most stable computed form is 0 meV/atom.

=====

(5)
Entry from Alexandria: Tb15DyTl4 after structural relaxation (PBE-GGA).

Unit cell a=4.871 b=4.871 c=24.845 alpha=90.00 beta=90.00 gamma=90.00
Sites, in units of the cell vectors:
Tb: 0.000 0.000 0.000
Tb: 0.000 0.000 0.204
Tb: 0.000 0.000 0.402
Tb: 0.000 0.000 0.598
Tb: 0.000 0.000 0.796
Tb: 0.000 0.500 0.104
Tb: 0.000 0.500 0.303
Tb: 0.000 0.500 0.500
Tb: 0.000 0.500 0.697
Tb: 0.000 0.500 0.896
Tb: 0.500 0.000 0.104
Tb: 0.500 0.000 0.303
Tb: 0.500 0.000 0.500
Tb: 0.500 0.000 0.697
Tb: 0.500 0.000 0.896
Dy: 0.500 0.500 0.000
Tl: 0.500 0.500 0.207
Tl: 0.500 0.500 0.402
Tl: 0.500 0.500 0.598
Tl: 0.500 0.500 0.793

Its crystal system is tetragonal. As for the space group: P4/mmm, No. 123. As for the total DFT energy (no corrections): -86.29 eV per formula unit.

=====

(6)
Entry from Alexandria: Tb3Dy4Tl after structural relaxation (PBE-GGA).

Unit cell a=4.118 b=4.118 c=14.443 alpha=90.00 beta=90.00 gamma=90.00
Sites, in units of the cell vectors:
Tb: 0.000 0.000 0.000
Tb: 0.000 0.000 0.251
Tb: 0.000 0.000 0.749
Dy: 0.500 0.500 0.130
Dy: 0.500 0.500 0.386
Dy: 0.500 0.500 0.614
Dy: 0.500 0.500 0.870
Tl: 0.000 0.000 0.500

Its crystal system is tetragonal. As for the space group: P4/mmm, No. 123. As for the total DFT energy (no corrections): -34.49 eV per formula unit. The value obtained for the offset from the most stable computed form is 93 meV/atom.

=====

(7)
Entry from Alexandria: TbDy7Tl2 after structural relaxation (PBE-GGA).

Unit cell a=9.033 b=9.033 c=5.326 alpha=90.00 beta=90.00 gamma=118.99
Sites, in units of the cell vectors:
Tb: 0.000 0.000 0.000
Dy: 0.062 0.302 0.500
Dy: 0.226 0.774 0.000
Dy: 0.302 0.062 0.500
Dy: 0.500 0.500 0.500
Dy: 0.698 0.938 0.500
Dy: 0.774 0.226 0.000
Dy: 0.938 0.698 0.500
Tl: 0.306 0.694 0.500
Tl: 0.694 0.306 0.500

Its crystal system is orthorhombic. As for the space group: Cmmm, No. 65. As for the total DFT energy (no corrections): -37.92 eV per formula unit.

=====

(8)
Entry from Alexandria: TbDy3Tl2 after structural relaxation (PBE-GGA).

Unit cell a=5.103 b=9.984 c=6.816 alpha=90.00 beta=90.00 gamma=90.00
Sites, in units of the cell vectors:
Tb: 0.000 0.042 0.000
Tb: 0.000 0.958 0.500
Dy: 0.000 0.314 0.627
Dy: 0.000 0.686 0.127
Dy: 0.500 0.188 0.281
Dy: 0.500 0.458 0.908
Dy: 0.500 0.542 0.408
Dy: 0.500 0.812 0.781
Tl: 0.000 0.366 0.162
Tl: 0.000 0.634 0.662
Tl: 0.500 0.134 0.745
Tl: 0.500 0.866 0.245

Its crystal system is orthorhombic. As for the space group: Pmc2_1, No. 26. As for the total DFT energy (no corrections): -24.79 eV per formula unit. The value obtained for the offset from the most stable computed form is 0 meV/atom.

=====

(9)
Entry from Alexandria: Tb2Dy2Tl3 after structural relaxation (PBE-GGA).

Unit cell a=16.117 b=16.117 c=3.546 alpha=90.00 beta=90.00 gamma=167.42
Sites, in units of the cell vectors:
Tb: 0.068 0.932 0.000
Tb: 0.932 0.068 0.000
Dy: 0.202 0.798 0.000
Dy: 0.798 0.202 0.000
Tl: 0.364 0.636 0.500
Tl: 0.500 0.500 0.500
Tl: 0.636 0.364 0.500

Its crystal system is orthorhombic. As for the space group: Cmmm, No. 65. As for the total DFT energy (no corrections): -27.09 eV per formula unit. The value obtained for the offset from the most stable computed form is 10 meV/atom.

=====

(10)
Entry from Alexandria: TbDy2Tl9 after structural relaxation (PBE-GGA).

Unit cell a=4.767 b=4.767 c=14.302 alpha=90.00 beta=90.00 gamma=90.00
Sites, in units of the cell vectors:
Tb: 0.000 0.000 0.000
Dy: 0.000 0.000 0.333
Dy: 0.000 0.000 0.667
Tl: 0.000 0.500 0.167
Tl: 0.000 0.500 0.500
Tl: 0.000 0.500 0.833
Tl: 0.500 0.000 0.167
Tl: 0.500 0.000 0.500
Tl: 0.500 0.000 0.833
Tl: 0.500 0.500 0.000
Tl: 0.500 0.500 0.333
Tl: 0.500 0.500 0.667

Its crystal system is tetragonal. As for the space group: P4/mmm, No. 123. As for the total DFT energy (no corrections): -38.02 eV per formula unit.

=====

(11)
Entry from Alexandria: Tb3Dy4Tl4 after structural relaxation (PBE-GGA).

Unit cell a=10.638 b=10.638 c=10.638 alpha=160.00 beta=126.87 gamma=57.33
Sites, in units of the cell vectors:
Tb: 0.000 0.000 0.000
Tb: 0.403 0.903 0.500
Tb: 0.597 0.097 0.500
Dy: 0.026 0.337 0.689
Dy: 0.353 0.663 0.689
Dy: 0.647 0.337 0.311
Dy: 0.974 0.663 0.311
Tl: 0.267 0.267 0.000
Tl: 0.280 0.500 0.780
Tl: 0.720 0.500 0.220
Tl: 0.733 0.733 0.000

Its crystal system is orthorhombic. As for the space group: Immm, No. 71. As for the total DFT energy (no corrections): -44.24 eV per formula unit.

=====

(12)
Entry from Alexandria: TbDy5Tl5 after structural relaxation (PBE-GGA).

Unit cell a=8.598 b=8.598 c=7.120 alpha=98.64 beta=98.64 gamma=40.07
Sites, in units of the cell vectors:
Tb: 0.000 0.000 0.000
Dy: 0.000 0.000 0.500
Dy: 0.324 0.324 0.086
Dy: 0.364 0.364 0.597
Dy: 0.636 0.636 0.403
Dy: 0.676 0.676 0.914
Tl: 0.169 0.169 0.280
Tl: 0.175 0.175 0.732
Tl: 0.500 0.500 0.000
Tl: 0.825 0.825 0.268
Tl: 0.831 0.831 0.720

Its crystal system is monoclinic. As for the space group: C2/m, No. 12. As for the total DFT energy (no corrections): -40.59 eV per formula unit.

=====

(13)
Entry from Alexandria: TbDy5Tl6 after structural relaxation (PBE-GGA).

Unit cell a=7.438 b=7.438 c=6.600 alpha=98.24 beta=98.24 gamma=98.01
Sites, in units of the cell vectors:
Tb: 0.000 0.000 0.000
Dy: 0.167 0.833 0.500
Dy: 0.334 0.666 0.000
Dy: 0.500 0.500 0.500
Dy: 0.666 0.334 0.000
Dy: 0.833 0.167 0.500
Tl: 0.083 0.417 0.251
Tl: 0.250 0.250 0.749
Tl: 0.417 0.083 0.251
Tl: 0.583 0.917 0.749
Tl: 0.750 0.750 0.251
Tl: 0.917 0.583 0.749

Its crystal system is monoclinic. As for the space group: C2/m, No. 12. As for the total DFT energy (no corrections): -44.89 eV per formula unit. The value obtained for the offset from the most stable computed form is 88 meV/atom.

=====

(14)
Entry from Alexandria: Tb3Dy5Tl2 after structural relaxation (PBE-GGA).

Unit cell a=10.530 b=10.530 c=10.530 alpha=104.91 beta=85.93 gamma=144.46
Sites, in units of the cell vectors:
Tb: 0.229 0.118 0.348
Tb: 0.250 0.250 0.000
Tb: 0.271 0.618 0.889
Tb: 0.729 0.382 0.111
Tb: 0.750 0.750 0.000
Tb: 0.771 0.882 0.652
Dy: 0.165 0.383 0.548
Dy: 0.250 0.502 0.252
Dy: 0.250 0.750 0.500
Dy: 0.250 0.998 0.748
Dy: 0.335 0.883 0.218
Dy: 0.665 0.117 0.782
Dy: 0.750 0.002 0.252
Dy: 0.750 0.250 0.500
Dy: 0.750 0.498 0.748
Dy: 0.835 0.617 0.452
Tl: 0.145 0.868 0.013
Tl: 0.355 0.368 0.723
Tl: 0.645 0.632 0.277
Tl: 0.855 0.132 0.987

Its crystal system is orthorhombic. As for the space group: Ibam, No. 72. As for the total DFT energy (no corrections): -40.32 eV per formula unit.

=====

(15)
Entry from Alexandria: TbDy3Tl4 after structural relaxation (PBE-GGA).

Unit cell a=10.041 b=6.702 c=6.637 alpha=90.00 beta=90.00 gamma=90.00
Sites, in units of the cell vectors:
Tb: 0.000 0.000 0.000
Tb: 0.500 0.000 0.500
Dy: 0.000 0.500 0.000
Dy: 0.250 0.250 0.250
Dy: 0.250 0.750 0.750
Dy: 0.500 0.500 0.500
Dy: 0.750 0.250 0.250
Dy: 0.750 0.750 0.750
Tl: 0.000 0.000 0.500
Tl: 0.000 0.500 0.500
Tl: 0.250 0.250 0.750
Tl: 0.250 0.750 0.250
Tl: 0.500 0.000 0.000
Tl: 0.500 0.500 0.000
Tl: 0.750 0.250 0.750
Tl: 0.750 0.750 0.250

Its crystal system is orthorhombic. As for the space group: Pmna, No. 53. As for the total DFT energy (no corrections): -29.63 eV per formula unit. The value obtained for the offset from the most stable computed form is 132 meV/atom.

=====

(16)
Entry from Alexandria: Tb4Dy5Tl2 after structural relaxation (PBE-GGA).

Unit cell a=15.939 b=15.939 c=15.939 alpha=18.87 beta=18.87 gamma=18.87
Sites, in units of the cell vectors:
Tb: 0.073 0.073 0.073
Tb: 0.225 0.225 0.225
Tb: 0.775 0.775 0.775
Tb: 0.927 0.927 0.927
Dy: 0.000 0.000 0.000
Dy: 0.148 0.148 0.148
Dy: 0.302 0.302 0.302
Dy: 0.698 0.698 0.698
Dy: 0.852 0.852 0.852
Tl: 0.380 0.380 0.380
Tl: 0.620 0.620 0.620

Its crystal system is trigonal. As for the space group: R-3m, No. 166. As for the total DFT energy (no corrections): -43.50 eV per formula unit.

=====

(17)
Entry from Alexandria: Tb6DyTl2 after structural relaxation (PBE-GGA).

Unit cell a=11.363 b=11.363 c=11.363 alpha=151.15 beta=151.15 gamma=41.26
Sites, in units of the cell vectors:
Tb: 0.124 0.740 0.000
Tb: 0.250 0.750 0.500
Tb: 0.260 0.260 0.384
Tb: 0.740 0.124 0.000
Tb: 0.750 0.250 0.500
Tb: 0.876 0.876 0.616
Dy: 0.500 0.500 0.000
Tl: 0.191 0.191 0.000
Tl: 0.809 0.809 0.000

Its crystal system is tetragonal. As for the space group: I-42m, No. 121. As for the total DFT energy (no corrections): -32.03 eV per formula unit. The value obtained for the offset from the most stable computed form is 715 meV/atom.

=====

(18)
Entry from Alexandria: Tb15Dy4Tl after structural relaxation (PBE-GGA).

Unit cell a=4.978 b=4.978 c=25.227 alpha=90.00 beta=90.00 gamma=90.00
Sites, in units of the cell vectors:
Tb: 0.000 0.000 0.000
Tb: 0.000 0.000 0.196
Tb: 0.000 0.000 0.399
Tb: 0.000 0.000 0.601
Tb: 0.000 0.000 0.804
Tb: 0.000 0.500 0.097
Tb: 0.000 0.500 0.299
Tb: 0.000 0.500 0.500
Tb: 0.000 0.500 0.701
Tb: 0.000 0.500 0.903
Tb: 0.500 0.000 0.097
Tb: 0.500 0.000 0.299
Tb: 0.500 0.000 0.500
Tb: 0.500 0.000 0.701
Tb: 0.500 0.000 0.903
Dy: 0.500 0.500 0.198
Dy: 0.500 0.500 0.400
Dy: 0.500 0.500 0.600
Dy: 0.500 0.500 0.802
Tl: 0.500 0.500 0.000

Its crystal system is tetragonal. As for the space group: P4/mmm, No. 123. As for the total DFT energy (no corrections): -90.63 eV per formula unit.

=====

(19)
Entry from Alexandria: Tb3Dy2Tl4 after structural relaxation (PBE-GGA).

Unit cell a=8.661 b=8.661 c=9.517 alpha=90.00 beta=90.00 gamma=130.81
Sites, in units of the cell vectors:
Tb: 0.000 0.000 0.000
Tb: 0.038 0.462 0.250
Tb: 0.462 0.038 0.750
Tb: 0.500 0.500 0.500
Tb: 0.538 0.962 0.250
Tb: 0.962 0.538 0.750
Dy: 0.108 0.892 0.440
Dy: 0.392 0.608 0.940
Dy: 0.608 0.392 0.060
Dy: 0.892 0.108 0.560
Tl: 0.194 0.806 0.032
Tl: 0.236 0.264 0.250
Tl: 0.264 0.236 0.750
Tl: 0.306 0.694 0.532
Tl: 0.694 0.306 0.468
Tl: 0.736 0.764 0.250
Tl: 0.764 0.736 0.750
Tl: 0.806 0.194 0.968

Its crystal system is orthorhombic. As for the space group: Cmce, No. 64. As for the total DFT energy (no corrections): -34.28 eV per formula unit. The value obtained for the offset from the most stable computed form is 89 meV/atom.

=====

(20)
Entry from Alexandria: Tb4Dy2Tl after structural relaxation (PBE-GGA).

Unit cell a=5.668 b=6.763 c=11.643 alpha=90.00 beta=102.95 gamma=90.00
Sites, in units of the cell vectors:
Tb: 0.112 0.250 0.141
Tb: 0.232 0.750 0.415
Tb: 0.336 0.510 0.708
Tb: 0.336 0.990 0.708
Tb: 0.664 0.010 0.292
Tb: 0.664 0.490 0.292
Tb: 0.768 0.250 0.585
Tb: 0.888 0.750 0.859
Dy: 0.205 0.250 0.437
Dy: 0.456 0.750 0.021
Dy: 0.544 0.250 0.979
Dy: 0.795 0.750 0.563
Tl: 0.017 0.750 0.143
Tl: 0.983 0.250 0.857

Its crystal system is monoclinic. As for the space group: P2_1/m, No. 11. As for the total DFT energy (no corrections): -30.10 eV per formula unit. The value obtained for the offset from the most stable computed form is 0 meV/atom.

=====

Record-wise total moment values, in μB/f.u.: 0.000, 0.000, 0.000, 0.503, 2.013, 0.000, 0.000, 0.000, 0.551, 0.000, 0.236, 0.001, 0.000, 0.000, 0.000, 0.001, 0.000, 0.000, 0.000, 0.000